No. 1
CuIr2Br, relaxed, DFT PBE; formation energy from raw total energies = 0.581 eV/atom; relative energy among the computed polymorphs = 0.131 eV per atom; V = 16.5 Å³ per atom
1.0
2.897 0.000 0.000
0.000 2.897 0.000
0.000 0.000 7.880
Cu Ir Br
1 2 1
Direct
0.000 0.000 0.000
0.000 0.000 0.429
0.500 0.500 0.213
0.500 0.500 0.690



No. 2
CsMnAgI4, relaxed, DFT PBE; formation energy from raw total energies = -0.699 eV/atom; V = 42.8 Å³ per atom
1.0
6.975 0.000 0.000
0.000 8.409 0.000
-2.960 0.000 10.223
Cs Mn Ag I
2 2 2 8
Direct
0.221 0.250 0.407
0.779 0.750 0.593
0.318 0.750 0.189
0.682 0.250 0.811
0.370 0.250 0.981
0.630 0.750 0.019
0.012 0.750 0.973
0.202 0.750 0.410
0.432 0.502 0.797
0.432 0.998 0.797
0.568 0.002 0.203
0.568 0.498 0.203
0.798 0.250 0.590
0.988 0.250 0.027



No. 3
ScSe3Br, relaxed, DFT PBE; formation energy from raw total energies = -0.225 eV/atom; relative energy among the computed polymorphs = 0.000 eV per atom; V = 27.7 Å³ per atom
1.0
5.176 0.000 0.000
0.000 5.176 0.000
0.000 0.000 5.176
Sc Se Br
1 3 1
Direct
0.000 0.000 0.000
0.000 0.000 0.500
0.000 0.500 0.000
0.500 0.000 0.000
0.500 0.500 0.500



No. 4
BaCa2Fe, relaxed, DFT PBE; relative energy among the computed polymorphs = 0.109 eV per atom; V = 37.5 Å³ per atom; energy relative to the elements = 2.0 eV/f.u.
1.0
4.000 0.000 0.000
-2.000 3.464 0.000
0.000 0.000 32.505
Ba Ca Fe
3 6 3
Direct
0.000 0.000 0.000
0.333 0.667 0.667
0.667 0.333 0.333
0.000 0.000 0.224
0.000 0.000 0.776
0.333 0.667 0.442
0.333 0.667 0.891
0.667 0.333 0.109
0.667 0.333 0.558
0.000 0.000 0.500
0.333 0.667 0.167
0.667 0.333 0.833



No. 5
Pm2YHo6Sc, relaxed, DFT PBE; V = 31.4 Å³ per atom; energy relative to the elements = 1.2 eV/f.u.
1.0
4.488 -7.424 0.000
4.488 7.424 0.000
-1.392 0.000 9.425
Pm Y Ho Sc
4 2 12 2
Direct
0.197 0.301 0.455
0.301 0.197 0.955
0.699 0.803 0.045
0.803 0.699 0.545
0.482 0.518 0.750
0.518 0.482 0.250
0.003 0.793 0.883
0.070 0.511 0.691
0.207 0.997 0.617
0.246 0.628 0.057
0.372 0.754 0.443
0.489 0.930 0.809
0.511 0.070 0.191
0.628 0.246 0.557
0.754 0.372 0.943
0.793 0.003 0.383
0.930 0.489 0.309
0.997 0.207 0.117
0.089 0.911 0.250
0.911 0.089 0.750



No. 6
Te2RhI, relaxed, DFT PBE; formation energy from raw total energies = -0.207 eV/atom; V = 30.7 Å³ per atom
1.0
11.412 0.000 0.000
0.000 6.987 0.000
-0.052 0.000 6.161
Te Rh I
8 4 4
Direct
0.000 0.000 0.000
0.023 0.500 0.648
0.207 0.500 0.972
0.351 0.500 0.484
0.500 0.500 0.000
0.523 0.000 0.648
0.707 0.000 0.972
0.851 0.000 0.484
0.367 0.249 0.808
0.367 0.751 0.808
0.867 0.251 0.808
0.867 0.749 0.808
0.202 0.000 0.631
0.365 0.000 0.149
0.702 0.500 0.631
0.865 0.500 0.149



In the order shown, the computed DFT total energy values come out to -5.2920 -3.4240 -3.9165 -3.1040 -4.8551 -4.0034 eV per atom.